(one)
The following is a GGA+U calculation of crystalline Nb2VF2 at its relaxed geometry, from Alexandria via LeMat-Bulk.

```
Nb2VF2
1.0
-0.116 -3.216 -0.301
2.282 0.131 -2.286
5.697 -2.137 3.278
Nb F V
2 2 1
direct
0.623 0.623 0.753
0.377 0.377 0.247
0.750 0.250 0.500
0.250 0.750 0.500
0.000 0.000 0.000
```

Symmetry: No. 139
V (Å³/f.u.): 68


(two)
The following is a GGA+U calculation of crystalline Nb2VF2 at its relaxed geometry, from Alexandria via LeMat-Bulk.

```
Nb2VF2
1.0
-4.797 -1.156 5.850
1.922 -7.407 0.113
2.025 0.552 1.770
Nb F V
4 4 2
direct
0.242 0.258 0.000
0.258 0.758 0.000
0.758 0.742 0.000
0.742 0.242 0.000
0.105 0.605 0.500
0.395 0.105 0.500
0.605 0.895 0.500
0.895 0.395 0.500
0.500 0.500 0.000
0.000 0.000 0.000
```

Symmetry: No. 127
V (Å³/f.u.): 80


Short version: (one) is the most stable of them.


(one)
The following is a GGA+U calculation of crystalline NbV2F2 at its relaxed geometry, from Alexandria via LeMat-Bulk.

```
NbV2F2
1.0
4.634 0.000 0.000
0.000 4.634 0.000
2.317 2.317 3.808
V Nb F
2 1 2
direct
0.250 0.750 0.500
0.750 0.250 0.500
0.000 0.000 0.000
0.713 0.713 0.574
0.287 0.287 0.426
```

Symmetry: No. 139
V (Å³/f.u.): 82


(two)
The following is a GGA+U calculation of crystalline NbV2F2 at its relaxed geometry, from Alexandria via LeMat-Bulk.

```
NbV2F2
1.0
7.597 0.000 0.000
0.000 7.597 0.000
0.000 0.000 2.894
Nb V F
2 4 4
direct
0.000 0.000 0.000
0.500 0.500 0.000
0.252 0.248 0.500
0.752 0.252 0.500
0.248 0.748 0.500
0.748 0.752 0.500
0.618 0.118 0.000
0.118 0.382 0.000
0.882 0.618 0.000
0.382 0.882 0.000
```

Symmetry: No. 127
V (Å³/f.u.): 84


Short version: (two) is the most stable of them.


(one)
The following is a GGA+U calculation of crystalline NbWF3 at its relaxed geometry, from Alexandria via LeMat-Bulk.

```
NbWF3
1.0
4.365 0.000 0.000
0.000 4.365 0.000
0.000 0.000 4.365
Nb F W
1 3 1
direct
0.500 0.500 0.500
0.000 0.000 0.500
0.000 0.500 0.000
0.500 0.000 0.000
0.000 0.000 0.000
```

Symmetry: No. 221
V (Å³/f.u.): 83


(two)
The following is a GGA+U calculation of crystalline NbWF3 at its relaxed geometry, from Alexandria via LeMat-Bulk.

```
NbWF3
1.0
4.363 0.000 0.000
0.000 4.363 0.000
0.000 0.000 4.363
F W Nb
3 1 1
direct
0.000 0.000 0.500
0.500 0.000 0.000
0.000 0.500 0.000
0.500 0.500 0.500
0.000 0.000 0.000
```

Symmetry: No. 221
V (Å³/f.u.): 83


Short version: (two) is the most stable of them.


(one)
The following is a GGA+U calculation of crystalline NbWF2 at its relaxed geometry, from Alexandria via LeMat-Bulk.

```
NbWF2
1.0
-3.982 -2.433 2.659
-1.508 -2.474 -4.522
0.341 -6.319 0.153
Nb F W
2 4 2
direct
0.500 0.500 0.000
0.250 0.750 0.500
0.595 0.125 0.250
0.155 0.625 0.250
0.875 0.845 0.750
0.375 0.405 0.750
0.750 0.250 0.500
0.000 0.000 0.000
```

Symmetry: No. 122
V (Å³/f.u.): 73


(two)
The following is a GGA+U calculation of crystalline NbWF2 at its relaxed geometry, from Alexandria via LeMat-Bulk.

```
NbWF2
1.0
2.606 -2.434 2.415
-1.345 -1.459 3.822
-0.845 -4.190 0.530
F W Nb
2 1 1
direct
0.250 0.250 0.250
0.750 0.750 0.750
0.500 0.500 0.500
0.000 0.000 0.000
```

Symmetry: No. 225
V (Å³/f.u.): 56


(three)
The following is a GGA+U calculation of crystalline NbWF2 at its relaxed geometry, from Alexandria via LeMat-Bulk.

```
NbWF2
1.0
1.633 0.000 8.042
-0.816 1.414 8.042
-0.816 -1.414 8.042
Nb F W
1 2 1
direct
0.500 0.500 0.500
0.101 0.101 0.101
0.899 0.899 0.899
0.000 0.000 0.000
```

Symmetry: No. 166
V (Å³/f.u.): 56


Short version: (three) is the most stable of them.


(one)
The following is a GGA+U calculation of crystalline NbW2F at its relaxed geometry, from Alexandria via LeMat-Bulk.

```
NbW2F
1.0
-6.452 -2.520 -0.864
2.525 -5.061 -4.091
-1.636 -5.367 -0.325
W F Nb
4 2 2
direct
0.576 0.125 0.250
0.875 0.826 0.750
0.375 0.424 0.750
0.174 0.625 0.250
0.500 0.500 0.000
0.250 0.750 0.500
0.750 0.250 0.500
0.000 0.000 0.000
```

Symmetry: No. 122
V (Å³/f.u.): 66


(two)
The following is a GGA+U calculation of crystalline NbW2F at its relaxed geometry, from Alexandria via LeMat-Bulk.

```
NbW2F
1.0
-2.179 -3.836 1.015
-2.682 -0.184 3.643
-4.492 -0.254 -0.506
Nb F W
1 1 2
direct
0.500 0.500 0.500
0.000 0.000 0.000
0.250 0.250 0.250
0.750 0.750 0.750
```

Symmetry: No. 225
V (Å³/f.u.): 66


Short version: (one) is the most stable of them.